(1)
Entry from Alexandria via LeMat-Bulk: a relaxed structure of GaAu2CCl (GGA-PBE).

```
GaAu2CCl
1.0
-2.416 -3.434 3.209
-2.171 -0.972 -2.674
3.438 -3.752 -1.427
C Au Ga Cl
1 2 1 1
direct
0.000 0.500 0.000
0.000 0.000 0.500
0.500 0.000 0.000
0.500 0.500 0.500
0.000 0.000 0.000
```

## Properties
electronic total energy = -2.48 eV per atom
space-group type = P4/mmm (123)

(2)
Entry from Alexandria via LeMat-Bulk: a relaxed structure of CdOsCl (GGA-PBE).

```
CdOsCl
1.0
-3.884 3.008 4.350
-3.835 -1.189 5.190
5.535 -0.629 -3.468
Cl Os Cd
1 1 1
direct
0.312 0.312 0.000
0.669 0.669 0.000
0.019 0.019 0.000
```

## Properties
electronic total energy = -3.84 eV per atom
space-group type = I4mm (107)

(3)
Entry from Alexandria via LeMat-Bulk: a relaxed structure of Ba2Sr2Ag (GGA-PBE).

```
Ba2Sr2Ag
1.0
-2.677 7.351 -3.786
-8.061 -3.206 -0.525
-1.463 2.663 6.205
Sr Ba Ag
4 4 2
direct
0.168 0.668 0.500
0.668 0.832 0.500
0.832 0.332 0.500
0.332 0.168 0.500
0.339 0.839 0.000
0.839 0.661 0.000
0.661 0.161 0.000
0.161 0.339 0.000
0.000 0.000 0.000
0.500 0.500 0.000
```

## Properties
electronic total energy = -1.93 eV per atom
calculated formation energy = 0.087 eV/atom
space-group type = P4/mbm (127)

(4)
Entry from Alexandria via LeMat-Bulk: a relaxed structure of BeNiW (GGA-PBE).

```
BeNiW
1.0
5.472 0.000 0.000
0.000 3.007 0.000
0.000 0.000 8.663
Ni W Be
4 4 4
direct
0.392 0.250 0.392
0.108 0.750 0.892
0.608 0.750 0.608
0.892 0.250 0.108
0.857 0.250 0.421
0.643 0.750 0.921
0.143 0.750 0.579
0.357 0.250 0.079
0.867 0.250 0.732
0.633 0.750 0.232
0.133 0.750 0.268
0.367 0.250 0.768
```

## Properties
electronic total energy = -7.52 eV per atom
calculated formation energy = -0.030 eV/atom
space-group type = Pnma (62)

(5)
Entry from Alexandria via LeMat-Bulk: a relaxed structure of NaPaI2O8 (GGA-PBE).

```
NaPaI2O8
1.0
6.466 0.000 0.000
-3.233 5.600 0.000
0.000 0.000 6.594
Na Pa I O
1 1 2 8
direct
0.000 0.000 0.500
0.000 0.000 0.000
0.667 0.333 0.227
0.333 0.667 0.773
0.847 0.153 0.204
0.847 0.694 0.204
0.306 0.153 0.204
0.694 0.847 0.796
0.333 0.667 0.504
0.667 0.333 0.496
0.153 0.847 0.796
0.153 0.306 0.796
```

## Properties
electronic total energy = -5.80 eV per atom
space-group type = P-3m1 (164)

(6)
Entry from Alexandria via LeMat-Bulk: a relaxed structure of BaNaCaSi (GGA-PBE).

```
BaNaCaSi
1.0
-3.793 0.846 4.031
-1.253 -4.123 3.575
1.626 0.340 5.347
Na Ca Si Ba
1 1 1 1
direct
0.250 0.250 0.250
0.500 0.500 0.500
0.750 0.750 0.750
0.000 0.000 0.000
```

## Properties
electronic total energy = -2.80 eV per atom
space-group type = F-43m (216)

(7)
Entry from Alexandria via LeMat-Bulk: a relaxed structure of RbDySiS4 (GGA-PBE).

```
RbDySiS4
1.0
6.407 0.000 -0.102
0.000 6.667 0.000
-2.646 0.000 8.679
Rb Dy Si S
2 2 2 8
direct
0.732 0.750 0.937
0.268 0.250 0.063
0.774 0.750 0.452
0.226 0.250 0.548
0.223 0.750 0.335
0.777 0.250 0.665
0.000 0.499 0.701
0.000 0.999 0.299
0.000 0.501 0.299
0.000 0.001 0.701
0.418 0.750 0.185
0.582 0.250 0.815
0.424 0.750 0.569
0.576 0.250 0.431
```

## Properties
electronic total energy = -5.35 eV per atom
space-group type = P2_1/m (11)

Question: Which of these has the lowest electronic total energy?
Answer: BeNiW

Question: electronic total energy of number 4 (BeNiW)?
Answer: -7.52 eV per atom